1.
## CdCoSb (PBE)

Data for a geometry-optimized CdCoSb structure.

Properties
- Energy: -3.91 eV per atom
- Space-group type: I4mm

abc: 6.726 6.726 3.076
angles: 76.78 76.78 26.44
Atoms (fractional coordinates):
Sb: 0.291 0.291 0.709
Co: 0.674 0.674 0.326
Cd: 0.035 0.035 0.965



2.
## Li2MnI (PBE)

Data for a geometry-optimized Li2MnI structure.

Properties
- Energy: -3.40 eV per atom
- Distance to the lowest polymorph of the same formula: 67.5 meV per atom
- Space-group type: Fm-3m

abc: 5.005 5.005 5.005
angles: 60.00 60.00 60.00
Atoms (fractional coordinates):
I: 0.500 0.500 0.500
Li: 0.750 0.750 0.750
Mn: 0.000 0.000 0.000
Li: 0.250 0.250 0.250



Q: Look up the energy of the first one.
A: -3.91 eV per atom